Computed, not measured: a relaxed structure of CrGeB3 at the PBE level of DFT.

abc: 3.9405 3.9405 3.9405
angles: 90.00 90.00 90.00
Last column: nearest neighbours and their distance in Å.
Positions (direct):
B 0.0000 0.5000 0.0000  2 Cr 1.97
B 0.5000 0.0000 0.0000  2 Cr 1.97
B 0.0000 0.0000 0.5000  2 Cr 1.97
Cr 0.0000 0.0000 0.0000  6 B 1.97
Ge 0.5000 0.5000 0.5000  12 B 2.79

## Properties
Crystal system = cubic
Energy of formation = 1139 meV/atom
Symmetry = Pm-3m, No. 221
Energy above the most stable polymorph in this dataset = 0.0000 eV per atom

***

Computed, not measured: a relaxed structure of Ti2Cd2Au at the PBE level of DFT.

abc: 7.2083 7.2083 3.7193
angles: 90.00 90.00 90.00
Last column: nearest neighbours and their distance in Å.
Positions (direct):
Cd 0.1372 0.3628 0.0000  6 Ti 2.76-2.86, 2 Au 2.80, 1 Cd 2.80
Cd 0.8628 0.6372 0.0000  6 Ti 2.76-2.86, 2 Au 2.80, 1 Cd 2.80
Cd 0.6372 0.1372 0.0000  6 Ti 2.76-2.86, 2 Au 2.80, 1 Cd 2.80
Cd 0.3628 0.8628 0.0000  6 Ti 2.76-2.86, 2 Au 2.80, 1 Cd 2.80
Au 0.5000 0.5000 0.0000  4 Cd 2.80
Au 0.0000 0.0000 0.0000  4 Cd 2.80
Ti 0.1624 0.6624 0.5000  6 Cd 2.76-2.86
Ti 0.6624 0.8376 0.5000  6 Cd 2.76-2.86
Ti 0.8376 0.3376 0.5000  6 Cd 2.76-2.86
Ti 0.3376 0.1624 0.5000  6 Cd 2.76-2.86

## Properties
Crystal system = tetragonal
Energy of formation = 160 meV/atom
Symmetry = P4/mbm, No. 127
Energy above the most stable polymorph in this dataset = 0.0000 eV per atom

***

Computed, not measured: a relaxed structure of FeMoHRu2 at the PBE level of DFT.

abc: 3.8114 3.8114 3.9081
angles: 90.00 90.00 90.00
Last column: nearest neighbours and their distance in Å.
Positions (direct):
H 0.0000 0.0000 0.0000  4 Ru 1.91, 2 Mo 1.95
Ru 0.0000 0.5000 0.0000  2 H 1.91
Ru 0.5000 0.0000 0.0000  2 H 1.91
Mo 0.0000 0.0000 0.5000  2 H 1.95
Fe 0.5000 0.5000 0.5000  4 Mo 2.70, 8 Ru 2.73

## Properties
Crystal system = tetragonal
Symmetry = P4/mmm, No. 123
Energy above the most stable polymorph in this dataset = 0.0950 eV per atom

***

Computed, not measured: a relaxed structure of EuPt2Pb at the PBE level of DFT.

abc: 3.7482 4.8317 4.8317
angles: 90.00 90.00 90.00
Last column: nearest neighbours and their distance in Å.
Positions (direct):
Pt 0.0000 0.0000 0.5000  4 Pb 3.06, 4 Eu 3.06, 4 Pt 3.42
Pt 0.0000 0.5000 0.0000  4 Eu 3.06, 4 Pb 3.06, 4 Pt 3.42
Eu 0.5000 0.0000 0.0000  8 Pt 3.06, 4 Pb 3.42
Pb 0.5000 0.5000 0.5000  8 Pt 3.06, 4 Eu 3.42

## Properties
Crystal system = tetragonal
Energy of formation = -494 meV/atom
Symmetry = P4/mmm, No. 123

***

Computed, not measured: a relaxed structure of Mg3Tl4Pb at the PBE level of DFT.

abc: 5.3813 5.3813 9.1384
angles: 72.88 72.88 60.00
Last column: nearest neighbours and their distance in Å.
Positions (direct):
Tl 0.1293 0.1293 0.6122  7 Mg 3.22-3.36, 1 Pb 3.33
Tl 0.6195 0.6195 0.1415  5 Mg 3.08-3.26, 3 Pb 3.34
Tl 0.8707 0.8707 0.3878  7 Mg 3.22-3.36, 1 Pb 3.33
Tl 0.3805 0.3805 0.8585  5 Mg 3.08-3.26, 3 Pb 3.34
Mg 0.2540 0.2540 0.2380  8 Tl 3.22-3.36
Mg 0.5000 0.5000 0.5000  8 Tl 3.08-3.25
Mg 0.7460 0.7460 0.7620  8 Tl 3.22-3.36
Pb 0.0000 0.0000 0.0000  8 Tl 3.33-3.34, 6 Mg 3.72

## Properties
Crystal system = trigonal
Energy of formation = 5 meV/atom
Symmetry = R-3m, No. 166

***

Computed, not measured: a relaxed structure of DyTm2Ga2Cu2 at the PBE level of DFT.

abc: 4.3589 4.3589 9.3419
angles: 76.51 76.51 60.00
Last column: nearest neighbours and their distance in Å.
Positions (direct):
Tm 0.1246 0.1246 0.6263  3 Ga 2.90, 3 Cu 2.95
Tm 0.8754 0.8754 0.3737  3 Ga 2.90, 3 Cu 2.95
Ga 0.2619 0.2619 0.2144  3 Cu 2.52
Ga 0.7381 0.7381 0.7856  3 Cu 2.52
Cu 0.4006 0.4006 0.7983  3 Ga 2.52
Cu 0.5994 0.5994 0.2017  3 Ga 2.52
Dy 0.0000 0.0000 0.0000  6 Cu 3.10, 6 Ga 3.17, 2 Tm 3.36

## Properties
Crystal system = trigonal
Energy of formation = -397 meV/atom
Symmetry = R-3m, No. 166

***

Computed, not measured: a relaxed structure of InRuBr2 at the PBE level of DFT.

abc: 6.7892 6.7892 7.4769
angles: 63.00 63.00 90.00
Last column: nearest neighbours and their distance in Å.
Positions (direct):
Br 0.5290 0.1250 0.2500  2 Ru 2.46
Br 0.8750 0.7790 0.7500  2 Ru 2.46
Br 0.3750 0.4710 0.7500  2 Ru 2.46
Br 0.2210 0.6250 0.2500  2 Ru 2.46
In 0.7500 0.2500 0.5000  4 Br 3.23
In 0.0000 0.0000 0.0000  4 Br 3.23
Ru 0.2500 0.7500 0.5000  4 Br 2.46
Ru 0.5000 0.5000 0.0000  4 Br 2.46

## Properties
Crystal system = tetragonal
Symmetry = I-42d, No. 122
ΔE_f (raw) = 131 kJ/mol of formula units
Energy above the most stable polymorph in this dataset = 0.4239 eV per atom

***

Computed, not measured: a relaxed structure of Pd2Se2Cl at the PBE level of DFT.

abc: 6.7035 6.2037 7.9899
angles: 67.16 47.07 62.44
Last column: nearest neighbours and their distance in Å.
Positions (direct):
Pd 0.9135 0.3407 0.4683  4 Se 2.48-2.62, 1 Cl 2.54
Pd 0.5865 0.7226 0.0316  4 Se 2.48-2.62, 1 Cl 2.54
Pd 0.4135 0.2774 0.9684  4 Se 2.48-2.62, 1 Cl 2.54
Pd 0.0865 0.6593 0.5317  4 Se 2.48-2.62, 1 Cl 2.54
Se 0.0669 0.0195 0.2561  4 Pd 2.48-2.62
Se 0.4330 0.3427 0.2441  4 Pd 2.48-2.62
Se 0.5670 0.6573 0.7559  4 Pd 2.48-2.62
Se 0.9331 0.9805 0.7439  4 Pd 2.48-2.62
Cl 0.2495 0.3059 0.7502  2 Pd 2.54
Cl 0.7505 0.6941 0.2498  2 Pd 2.54

## Properties
Crystal system = monoclinic
Symmetry = C2/c, No. 15
ΔE_f (raw) = -139 kJ/mol of formula units
Energy above the most stable polymorph in this dataset = 0.0303 eV per atom

***

Computed, not measured: a relaxed structure of CsNdSb at the PBE level of DFT.

abc: 5.2305 5.2305 14.6439
angles: 79.71 79.71 60.00
Last column: nearest neighbours and their distance in Å.
Positions (direct):
Nd 0.3053 0.3053 0.0841  4 Sb 3.14-3.28
Nd 0.6947 0.6947 0.9159  4 Sb 3.14-3.28
Cs 0.8907 0.8907 0.3279  3 Sb 4.00
Cs 0.1093 0.1093 0.6721  3 Sb 4.00
Sb 0.3817 0.3817 0.8549  4 Nd 3.14-3.28
Sb 0.6183 0.6183 0.1451  4 Nd 3.14-3.28

## Properties
Crystal system = trigonal
Symmetry = R-3m, No. 166
ΔE_f (raw) = -168 kJ/mol of formula units

***

Computed, not measured: a relaxed structure of CeZn4Pt at the PBE level of DFT.

abc: 4.7936 6.8283 7.3600
angles: 90.00 109.01 90.00
Last column: nearest neighbours and their distance in Å.
Positions (direct):
Ce 0.3863 0.7500 0.7727  7 Zn 2.94-3.15
Ce 0.6137 0.2500 0.2273  7 Zn 2.94-3.15
Zn 0.0000 0.5000 0.0000  2 Pt 2.59
Zn 0.7745 0.5751 0.5491  1 Zn 2.39, 1 Pt 2.52
Zn 0.2255 0.0751 0.4509  1 Zn 2.39, 1 Pt 2.52
Zn 0.0000 0.0000 0.0000  2 Pt 2.59
Zn 0.5973 0.7500 0.1945  2 Pt 2.47, 2 Zn 2.74
Zn 0.4027 0.2500 0.8055  2 Pt 2.47, 2 Zn 2.74
Zn 0.7745 0.9249 0.5491  1 Zn 2.39, 1 Pt 2.52
Zn 0.2255 0.4249 0.4509  1 Zn 2.39, 1 Pt 2.52
Pt 0.8600 0.2500 0.7199  6 Zn 2.47-2.59
Pt 0.1400 0.7500 0.2801  6 Zn 2.47-2.59

## Properties
Crystal system = orthorhombic
Energy of formation = -278 meV/atom
Symmetry = Cmcm, No. 63
Energy above the most stable polymorph in this dataset = 0.0285 eV per atom

***

Computed, not measured: a relaxed structure of Li2LaYSb at the PBE level of DFT.

abc: 5.2183 5.6926 5.2183
angles: 90.00 90.00 90.00
Last column: nearest neighbours and their distance in Å.
Positions (direct):
Sb 0.0000 0.5000 0.0000  2 Y 2.85
Li 0.0000 0.0000 0.5000  2 Y 2.61
Li 0.5000 0.0000 0.0000  2 Y 2.61
Y 0.0000 0.0000 0.0000  4 Li 2.61, 2 Sb 2.85
La 0.5000 0.5000 0.5000  4 Sb 3.69, 8 Li 3.86

## Properties
Crystal system = tetragonal
Symmetry = P4/mmm, No. 123
ΔE_f (raw) = 85 kJ/mol of formula units

***

no.,calculated volume (Å³/f.u.)
1,61.2
2,96.6
3,56.8
4,87.5
5,215.5
6,148.0
7,132.1
8,107.2
9,169.7
10,113.9
11,155.0